{"formula": "PaTeBr", "functional": "PBE-GGA", "state": "relaxed", "formation_energy_uncorrected_ev_per_atom": -0.90, "dos_ef_per_ev_cell": 5.5, "total_magnetization_mub_per_cell": 2.0, "polymorph_energy_mev_per_atom": 16, "space_group": "Cm (8)", "cell": [[3.5028, -2.0231, 0.0000], [3.5028, 2.0231, 0.0000], [-3.3447, 0.0000, 7.8416]], "species": ["Pa", "Te", "Br"], "fractional_positions": [[0.0000, 0.0000, 0.0000], [0.2136, 0.2136, 0.7493], [0.4516, 0.4516, 0.2476]]}

=====

{"formula": "HoAl2Ag3", "functional": "PBE-GGA", "state": "relaxed", "dos_ef_per_ev_cell": 5.0, "total_magnetization_mub_per_cell": 0.0, "space_group": "Cmcm (63)", "formation_energy_ev_per_atom": -0.21, "cell": [[4.9297, -4.2329, 0.0000], [4.9297, 4.2329, 0.0000], [0.0000, 0.0000, 5.6555]], "species": ["Ho", "Ho", "Al", "Al", "Al", "Al", "Ag", "Ag", "Ag", "Ag", "Ag", "Ag"], "fractional_positions": [[0.1415, 0.8585, 0.7500], [0.8585, 0.1415, 0.2500], [0.2701, 0.2701, 0.0000], [0.2701, 0.2701, 0.5000], [0.7299, 0.7299, 0.0000], [0.7299, 0.7299, 0.5000], [0.0664, 0.6235, 0.2500], [0.3765, 0.9336, 0.2500], [0.4992, 0.5008, 0.2500], [0.5008, 0.4992, 0.7500], [0.6235, 0.0664, 0.7500], [0.9336, 0.3765, 0.7500]]}

=====

Number 1: density 6.552 g/cm³. Number 2: density 7.633 g/cm³.